[1]
# NdGa2CuPt4

An optimized crystal structure of NdGa2CuPt4 (PBE-GGA, Alexandria).

Cell: 9.1159 9.1159 9.1159 Å, 27.29 27.29 27.29°
Positions (direct):
Nd (0.0000, 0.0000, 0.0000)
Ga (0.2382, 0.2382, 0.2382)
Ga (0.7618, 0.7618, 0.7618)
Cu (0.5000, 0.5000, 0.5000)
Pt (0.1326, 0.1326, 0.1326)
Pt (0.4036, 0.4036, 0.4036)
Pt (0.5964, 0.5964, 0.5964)
Pt (0.8674, 0.8674, 0.8674)

Results
Its mass density is 13.327 g cm⁻³. The magnetic moment comes out at 0.0000 μB per atom. Its crystal system is trigonal. The calculation puts the density of states at the Fermi level at 4.76 states/eV per cell. The energy of formation is -698 meV/atom. Its total energy is -44.66 eV per cell.

---

[2]
# NdPuGaCu

An optimized crystal structure of NdPuGaCu (PBE-GGA, Alexandria).

Cell: 5.0885 5.0885 5.0885 Å, 60.00 60.00 60.00°
Positions (direct):
Nd (0.0000, 0.0000, 0.0000)
Pu (0.5000, 0.5000, 0.5000)
Ga (0.2500, 0.2500, 0.2500)
Cu (0.7500, 0.7500, 0.7500)

Results
Its mass density is 9.295 g cm⁻³. The magnetic moment comes out at 1.4946 μB per atom. Its crystal system is cubic. The calculation puts the density of states at the Fermi level at 8.56 states/eV per cell. The energy of formation is -167 meV/atom. Its total energy is -26.89 eV per cell.

---

[3]
# Nd2Ga3CuRh4

An optimized crystal structure of Nd2Ga3CuRh4 (PBE-GGA, Alexandria).

Cell: 4.2495 4.2495 10.2601 Å, 90.00 90.00 90.00°
Positions (direct):
Nd (0.0000, 0.5000, 0.2480)
Nd (0.5000, 0.0000, 0.7520)
Ga (0.0000, 0.5000, 0.8740)
Ga (0.5000, 0.0000, 0.1260)
Ga (0.5000, 0.5000, 0.5000)
Cu (0.0000, 0.0000, 0.5000)
Rh (0.0000, 0.0000, 0.0000)
Rh (0.0000, 0.5000, 0.6336)
Rh (0.5000, 0.0000, 0.3664)
Rh (0.5000, 0.5000, 0.0000)

Results
Its mass density is 8.719 g cm⁻³. The magnetic moment comes out at 0.0000 μB per atom. Its crystal system is tetragonal. The calculation puts the density of states at the Fermi level at 4.74 states/eV per cell. The energy of formation is -693 meV/atom. Its total energy is -59.05 eV per cell.

---

[4]
# NdGa4CuRh2

An optimized crystal structure of NdGa4CuRh2 (PBE-GGA, Alexandria).

Cell: 9.0556 9.0556 9.0556 Å, 27.34 27.34 27.34°
Positions (direct):
Nd (0.0000, 0.0000, 0.0000)
Ga (0.1290, 0.1290, 0.1290)
Ga (0.4015, 0.4015, 0.4015)
Ga (0.5985, 0.5985, 0.5985)
Ga (0.8710, 0.8710, 0.8710)
Cu (0.5000, 0.5000, 0.5000)
Rh (0.2282, 0.2282, 0.2282)
Rh (0.7718, 0.7718, 0.7718)

Results
Its mass density is 8.317 g cm⁻³. The magnetic moment comes out at 0.0000 μB per atom. Its crystal system is trigonal. The calculation puts the density of states at the Fermi level at 3.83 states/eV per cell. The energy of formation is -538 meV/atom. Its total energy is -39.98 eV per cell.